Record 1
Material: NaTb4TmSe8
Method: DFT, PBE-GGA
State: relaxed

Lattice parameters (Å, degrees): 8.446 8.446 8.446 60.33 60.33 60.33
Sites, in units of the cell vectors:
1 Na 0.000 0.000 0.000
2 Tb 0.371 0.371 0.891
3 Tb 0.371 0.891 0.371
4 Tb 0.752 0.752 0.752
5 Tb 0.891 0.371 0.371
6 Tm 0.371 0.371 0.371
7 Se 0.135 0.135 0.135
8 Se 0.138 0.138 0.596
9 Se 0.138 0.596 0.138
10 Se 0.152 0.615 0.615
11 Se 0.596 0.138 0.138
12 Se 0.615 0.152 0.615
13 Se 0.615 0.615 0.152
14 Se 0.618 0.618 0.618

Values from the calculation:
Calculated volume in Å³/atom: 30.66
Formation energy from raw total energies in eV per atom: -1.7694


Record 2
Material: NaTb3Tm2Se6
Method: DFT, PBE-GGA
State: relaxed

Lattice parameters (Å, degrees): 7.035 7.035 7.108 99.52 99.52 120.05
Sites, in units of the cell vectors:
1 Na 0.000 0.000 0.000
2 Tb 0.162 0.838 0.500
3 Tb 0.500 0.500 0.500
4 Tb 0.838 0.162 0.500
5 Tm 0.334 0.666 0.000
6 Tm 0.666 0.334 0.000
7 Se 0.082 0.418 0.246
8 Se 0.255 0.255 0.761
9 Se 0.418 0.082 0.246
10 Se 0.582 0.918 0.754
11 Se 0.745 0.745 0.239
12 Se 0.918 0.582 0.754

Values from the calculation:
Calculated volume in Å³/atom: 23.94
Formation energy from raw total energies in eV per atom: -1.7203


Record 3
Material: Na4Tb3TmSe8
Method: DFT, PBE-GGA
State: relaxed

Lattice parameters (Å, degrees): 8.488 8.488 8.488 58.49 58.49 58.49
Sites, in units of the cell vectors:
1 Na 0.000 0.000 0.000
2 Na 0.000 0.500 0.500
3 Na 0.500 0.000 0.500
4 Na 0.500 0.500 0.000
5 Tb 0.000 0.000 0.500
6 Tb 0.000 0.500 0.000
7 Tb 0.500 0.000 0.000
8 Tm 0.500 0.500 0.500
9 Se 0.244 0.244 0.244
10 Se 0.247 0.741 0.741
11 Se 0.259 0.259 0.753
12 Se 0.259 0.753 0.259
13 Se 0.741 0.247 0.741
14 Se 0.741 0.741 0.247
15 Se 0.753 0.259 0.259
16 Se 0.756 0.756 0.756

Values from the calculation:
Calculated volume in Å³/atom: 26.09
Formation energy from raw total energies in eV per atom: -1.7056


Listing magnetic moment for the structures above in their given order: 0.00, 0.00, 0.00 μB/f.u..